Here is a relaxed CoCuSn crystal from the Alexandria database. Energies are from PBE-GGA.

DOS(E_F)   1.73 states/eV per cell
Raw total energy   -4.849 eV/atom
Calculated volume   14.786 Å³/atom
DFT formation energy   0.219 eV per atom

Cell: 4.1696 4.1696 2.9463 Å, 90.00 90.00 120.00°
Space group P3m1 (No. 156)
One atom of each set of equivalent atoms:
Co (0.0000, 0.0000, 0.0000) x1
Cu (0.3333, 0.6667, 0.3107) x1
Sn (0.6667, 0.3333, 0.6455) x1